1.
Compound: HoTmPuCd
Source: the Alexandria database
Functional: GGA-PBE
Structure: relaxed

```
16
Lattice="7.5839 0.0000 0.0000 0.0000 7.5839 0.0000 0.0000 0.0000 7.5839" Properties=species:S:1:pos:R:3 pbc="T T T"
Ho 0.0000 0.0000 0.0000
Ho 0.0000 3.7920 3.7920
Ho 3.7920 0.0000 3.7920
Ho 3.7920 3.7920 0.0000
Tm 0.0000 0.0000 3.7920
Tm 0.0000 3.7920 0.0000
Tm 3.7920 0.0000 0.0000
Tm 3.7920 3.7920 3.7920
Pu 1.8960 1.8960 5.6879
Pu 1.8960 5.6879 1.8960
Pu 5.6879 1.8960 1.8960
Pu 5.6879 5.6879 5.6879
Cd 1.8960 1.8960 1.8960
Cd 1.8960 5.6879 5.6879
Cd 5.6879 1.8960 5.6879
Cd 5.6879 5.6879 1.8960
```

Calculated values
Formation enthalpy at 0 K = 0.3 eV per formula unit

2.
Compound: HoPuZnCd
Source: the Alexandria database
Functional: GGA-PBE
Structure: relaxed

```
16
Lattice="7.3350 0.0000 0.0000 0.0000 7.3350 0.0000 0.0000 0.0000 7.3350" Properties=species:S:1:pos:R:3 pbc="T T T"
Ho 0.0000 0.0000 0.0000
Ho 0.0000 3.6675 3.6675
Ho 3.6675 0.0000 3.6675
Ho 3.6675 3.6675 0.0000
Pu 0.0000 0.0000 3.6675
Pu 0.0000 3.6675 0.0000
Pu 3.6675 0.0000 0.0000
Pu 3.6675 3.6675 3.6675
Zn 1.8337 1.8337 5.5012
Zn 1.8337 5.5012 1.8337
Zn 5.5012 1.8337 1.8337
Zn 5.5012 5.5012 5.5012
Cd 1.8337 1.8337 1.8337
Cd 1.8337 5.5012 5.5012
Cd 5.5012 1.8337 5.5012
Cd 5.5012 5.5012 1.8337
```

Calculated values
Formation enthalpy at 0 K = -0.5 eV per formula unit

formation enthalpy at 0 K of number 1 (HoTmPuCd)? 0.3 eV per formula unit

formation enthalpy at 0 K of number 1 (HoTmPuCd)? 0.3 eV per formula unit